(1)
Crystalline H6PbCBr3N at its relaxed geometry. Source: the Alexandria database, functional PBE.

The structure in POSCAR format:
```
H6PbCBr3N
1.0
-1.257 -0.776 -5.823
-0.349 -5.990 0.874
-6.005 0.677 1.206
H Pb C Br N
6 1 1 3 1
Cartesian
-7.308 -4.631 -3.134
-1.582 -4.944 1.001
-1.326 -1.681 -4.759
-4.793 0.008 1.034
-0.446 -1.137 -0.680
-6.403 -4.073 1.056
-3.743 -3.221 -1.862
-5.861 0.110 1.251
-6.699 -3.167 -1.231
-3.318 -3.138 1.135
-3.272 -0.397 -2.340
-0.577 -5.117 0.807
```

Computed properties:
Volume: 18.70 A^3/atom
Crystal system: monoclinic
Energy above the most stable polymorph in this dataset: 5 meV/atom

(2)
Crystalline ScInW2 at its relaxed geometry. Source: the Alexandria database, functional PBE.

The structure in POSCAR format:
```
ScInW2
1.0
-0.873 -2.015 -2.458
1.188 -2.571 1.686
-6.146 -0.916 2.935
In Sc W
1 1 2
Cartesian
-2.976 -0.444 1.421
-4.607 -3.003 1.889
-0.128 -0.019 0.061
-1.194 -2.495 0.259
```

Computed properties:
Volume: 18.67 A^3/atom
Crystal system: tetragonal
ΔE_f: 20.8 kJ/mol of formula units

(3)
Crystalline LiZr2Te at its relaxed geometry. Source: the Alexandria database, functional PBE.

The structure in POSCAR format:
```
LiZr2Te
1.0
3.708 0.000 0.000
0.000 3.708 0.000
0.000 0.000 6.371
Li Te Zr
1 1 2
Cartesian
0.000 0.000 3.280
1.854 1.854 4.719
0.000 0.000 6.356
1.854 1.854 1.572
```

Computed properties:
Volume: 21.90 A^3/atom
Crystal system: tetragonal
Energy relative to the elements, uncorrected: -328.8 meV per atom

(4)
Crystalline FeCuMoPt at its relaxed geometry. Source: the Alexandria database, functional PBE.

The structure in POSCAR format:
```
FeCuMoPt
1.0
-1.558 -2.010 3.428
2.647 -1.377 3.053
0.050 1.925 3.810
Mo Cu Pt Fe
1 1 1 1
Cartesian
0.285 -0.366 2.573
0.000 0.000 0.000
0.854 -1.097 7.718
0.569 -0.731 5.145
```

Computed properties:
Volume: 13.75 A^3/atom
Crystal system: cubic
ΔE_f: 7.7 kJ/mol of formula units

(5)
Crystalline AcNd2Br at its relaxed geometry. Source: the Alexandria database, functional PBE.

The structure in POSCAR format:
```
AcNd2Br
1.0
-2.287 2.783 -1.360
-3.710 -0.738 -0.721
-4.490 3.493 9.244
Ac Nd Br
1 2 1
Cartesian
-5.243 2.769 3.581
-7.941 4.239 5.675
-2.546 1.299 1.488
0.000 0.000 0.000
```

Computed properties:
Volume: 34.10 A^3/atom
Crystal system: trigonal
Energy above the most stable polymorph in this dataset: 0 meV/atom
Energy relative to the elements, uncorrected: -579.1 meV per atom

(6)
Crystalline ZrTlPS2 at its relaxed geometry. Source: the Alexandria database, functional PBE.

The structure in POSCAR format:
```
ZrTlPS2
1.0
4.966 0.000 0.000
0.000 4.966 0.000
0.000 0.000 5.001
P Tl S Zr
1 1 2 1
Cartesian
0.000 0.000 2.501
0.000 0.000 0.000
0.000 2.483 0.000
2.483 0.000 0.000
2.483 2.483 2.501
```

Computed properties:
Volume: 24.67 A^3/atom
Crystal system: tetragonal
Energy above the most stable polymorph in this dataset: 1245 meV/atom
Energy relative to the elements, uncorrected: 799.3 meV per atom

(7)
Crystalline Na2ZnTcO4 at its relaxed geometry. Source: the Alexandria database, functional PBE.

The structure in POSCAR format:
```
Na2ZnTcO4
1.0
-1.121 -3.238 -4.042
4.938 1.915 0.175
0.033 -2.191 4.825
Na Zn Tc O
2 1 1 4
Cartesian
3.151 -0.731 -0.684
0.000 0.000 0.000
0.698 -2.784 1.641
2.485 -0.138 2.500
1.059 -2.074 -0.192
1.023 -1.279 2.915
1.852 -2.181 -2.938
3.765 -1.494 2.129
```

Computed properties:
Volume: 13.79 A^3/atom
Crystal system: tetragonal
Energy relative to the elements, uncorrected: -1325.4 meV per atom

(8)
Crystalline Rb2CrNi at its relaxed geometry. Source: the Alexandria database, functional PBE.

The structure in POSCAR format:
```
Rb2CrNi
1.0
0.000 4.177 4.177
4.177 0.000 4.177
4.177 4.177 0.000
Ni Rb Cr
1 2 1
Cartesian
4.177 4.177 4.177
2.089 2.089 2.089
6.266 6.266 6.266
0.000 0.000 0.000
```

Computed properties:
Volume: 36.45 A^3/atom
Crystal system: cubic
Energy above the most stable polymorph in this dataset: 396 meV/atom
ΔE_f: 482.4 kJ/mol of formula units